1.
The following is a PBE calculation of an optimized crystal structure of Sr2BiTe, from the Alexandria database.

Output
Total magnetic moment in μB/f.u.: 0.00
Calculated total energy in eV for the cell shown: -44.6
Formation energy (no corrections) in eV/atom: -1.12

a = 4.5207 Å, b = 4.5207 Å, c = 26.4898 Å
α = 90.00°, β = 90.00°, γ = 120.00°
Space group R3m (No. 160, hexagonal axes)
Asymmetric unit:
Sr (0.0000, 0.0000, 0.0000) [3 per cell]
Sr (0.0000, 0.0000, 0.1578) [3 per cell]
Bi (0.0000, 0.0000, 0.5781) [3 per cell]
Te (0.0000, 0.0000, 0.7463) [3 per cell]



2.
The following is a PBE calculation of an optimized crystal structure of Sr3BiTe, from the Alexandria database.

Output
Total magnetic moment in μB/f.u.: 0.00
Calculated total energy in eV for the cell shown: -15.5
Formation energy (no corrections) in eV/atom: -0.69

a = 6.149 Å, b = 6.149 Å, c = 6.149 Å
α = 90.00°, β = 90.00°, γ = 90.00°
Space group Pm-3m (No. 221)
Asymmetric unit:
Sr (0.000, 0.000, 0.500) [3 per cell]
Bi (0.500, 0.500, 0.500) [1 per cell]
Te (0.000, 0.000, 0.000) [1 per cell]



3.
The following is a PBE calculation of an optimized crystal structure of Sr2BiTe, from the Alexandria database.

Output
Total magnetic moment in μB/f.u.: 0.00
Calculated total energy in eV for the cell shown: -60.7
Formation energy (no corrections) in eV/atom: -1.20

a = 4.837 Å, b = 26.404 Å, c = 4.742 Å
α = 90.00°, β = 90.00°, γ = 90.00°
Space group Cmcm (No. 63)
Asymmetric unit:
Sr (0.000, 0.063, 0.250) [4 per cell]
Sr (0.000, 0.314, 0.250) [4 per cell]
Bi (0.000, 0.451, 0.250) [4 per cell]
Te (0.000, 0.188, 0.250) [4 per cell]



4.
The following is a PBE calculation of an optimized crystal structure of Sr2Bi2Te, from the Alexandria database.

Output
Total magnetic moment in μB/f.u.: 0.00
Calculated total energy in eV for the cell shown: -36.3
Formation energy (no corrections) in eV/atom: -0.77

a = 8.736 Å, b = 8.736 Å, c = 5.059 Å
α = 90.00°, β = 90.00°, γ = 90.00°
Space group P4/mbm (No. 127)
Asymmetric unit:
Sr (0.175, 0.325, 0.000) [4 per cell]
Bi (0.119, 0.619, 0.500) [4 per cell]
Te (0.000, 0.000, 0.000) [2 per cell]



5.
The following is a PBE calculation of an optimized crystal structure of Sr4Bi2Te, from the Alexandria database.

Output
Total magnetic moment in μB/f.u.: 0.00
Calculated total energy in eV for the cell shown: -98.8
Formation energy (no corrections) in eV/atom: -1.01

a = 9.916 Å, b = 9.916 Å, c = 13.982 Å
α = 90.00°, β = 90.00°, γ = 90.00°
Space group I4_1/amd (No. 141, origin choice 2)
Asymmetric unit:
Sr (0.000, 0.025, 0.262) [16 per cell]
Bi (0.000, 0.000, 0.500) [8 per cell]
Te (0.000, 0.250, 0.875) [4 per cell]



6.
The following is a PBE calculation of an optimized crystal structure of Sr2Bi2Te, from the Alexandria database.

Output
Total magnetic moment in μB/f.u.: 0.00
Calculated total energy in eV for the cell shown: -34.4
Formation energy (no corrections) in eV/atom: -0.59

a = 6.533 Å, b = 6.533 Å, c = 9.430 Å
α = 90.00°, β = 90.00°, γ = 90.00°
Space group I4/mmm (No. 139)
Asymmetric unit:
Sr (0.000, 0.500, 0.250) [4 per cell]
Bi (0.000, 0.000, 0.163) [4 per cell]
Te (0.000, 0.000, 0.500) [2 per cell]



7.
The following is a PBE calculation of an optimized crystal structure of SrBi2Te2, from the Alexandria database.

Output
Total magnetic moment in μB/f.u.: 0.00
Calculated total energy in eV for the cell shown: -36.2
Formation energy (no corrections) in eV/atom: -0.48

a = 4.478 Å, b = 4.478 Å, c = 17.810 Å
α = 90.00°, β = 90.00°, γ = 90.00°
Space group I4/mmm (No. 139)
Asymmetric unit:
Sr (0.000, 0.000, 0.000) [2 per cell]
Bi (0.000, 0.500, 0.250) [4 per cell]
Te (0.000, 0.000, 0.411) [4 per cell]



8.
The following is a PBE calculation of an optimized crystal structure of SrBiTe2, from the Alexandria database.

Output
Total magnetic moment in μB/f.u.: 0.00
Calculated total energy in eV for the cell shown: -43.9
Formation energy (no corrections) in eV/atom: -0.70

a = 4.8260 Å, b = 4.8260 Å, c = 22.3095 Å
α = 90.00°, β = 90.00°, γ = 120.00°
Space group R3m (No. 160, hexagonal axes)
Asymmetric unit:
Sr (0.0000, 0.0000, 0.0000) [3 per cell]
Bi (0.0000, 0.0000, 0.1685) [3 per cell]
Te (0.0000, 0.0000, 0.5764) [3 per cell]
Te (0.0000, 0.0000, 0.7600) [3 per cell]



9.
The following is a PBE calculation of an optimized crystal structure of SrBi2Te2, from the Alexandria database.

Output
Total magnetic moment in μB/f.u.: 0.00
Calculated total energy in eV for the cell shown: -35.9
Formation energy (no corrections) in eV/atom: -0.45

a = 8.908 Å, b = 8.908 Å, c = 4.404 Å
α = 90.00°, β = 90.00°, γ = 90.00°
Space group P4/mbm (No. 127)
Asymmetric unit:
Sr (0.000, 0.000, 0.000) [2 per cell]
Bi (0.185, 0.315, 0.500) [4 per cell]
Te (0.151, 0.651, 0.000) [4 per cell]



10.
The following is a PBE calculation of an optimized crystal structure of Sr8Bi5Te, from the Alexandria database.

Output
Total magnetic moment in μB/f.u.: 0.00
Calculated total energy in eV for the cell shown: -100.6
Formation energy (no corrections) in eV/atom: -1.02

a = 10.179 Å, b = 10.179 Å, c = 10.209 Å
α = 90.00°, β = 90.00°, γ = 90.00°
Space group I-4 (No. 82)
Asymmetric unit:
Sr (0.070, 0.179, 0.302) [8 per cell]
Sr (0.074, 0.321, 0.943) [8 per cell]
Bi (0.000, 0.000, 0.000) [2 per cell]
Bi (0.127, 0.251, 0.622) [8 per cell]
Te (0.000, 0.500, 0.250) [2 per cell]



11.
The following is a PBE calculation of an optimized crystal structure of SrBiTe2, from the Alexandria database.

Output
Total magnetic moment in μB/f.u.: 0.00
Calculated total energy in eV for the cell shown: -59.6
Formation energy (no corrections) in eV/atom: -0.76

a = 5.369 Å, b = 18.369 Å, c = 6.570 Å
α = 90.00°, β = 90.00°, γ = 90.00°
Space group Cmcm (No. 63)
Asymmetric unit:
Sr (0.000, 0.184, 0.250) [4 per cell]
Bi (0.000, 0.405, 0.250) [4 per cell]
Te (0.000, 0.183, 0.750) [4 per cell]
Te (0.000, 0.422, 0.750) [4 per cell]



12.
The following is a PBE calculation of an optimized crystal structure of Sr2Bi2Te, from the Alexandria database.

Output
Total magnetic moment in μB/f.u.: 0.00
Calculated total energy in eV for the cell shown: -36.0
Formation energy (no corrections) in eV/atom: -0.75

a = 8.763 Å, b = 8.763 Å, c = 4.772 Å
α = 90.00°, β = 90.00°, γ = 90.00°
Space group P4/mbm (No. 127)
Asymmetric unit:
Sr (0.179, 0.321, 0.000) [4 per cell]
Bi (0.123, 0.623, 0.500) [4 per cell]
Te (0.000, 0.000, 0.500) [2 per cell]



13.
The following is a PBE calculation of an optimized crystal structure of Sr2BiTe, from the Alexandria database.

Output
Total magnetic moment in μB/f.u.: 0.00
Calculated total energy in eV for the cell shown: -57.8
Formation energy (no corrections) in eV/atom: -1.02

a = 8.248 Å, b = 8.248 Å, c = 8.248 Å
α = 90.00°, β = 90.00°, γ = 90.00°
Space group Fm-3m (No. 225)
Asymmetric unit:
Sr (0.250, 0.250, 0.250) [8 per cell]
Bi (0.000, 0.000, 0.000) [4 per cell]
Te (0.000, 0.000, 0.500) [4 per cell]



14.
The following is a PBE calculation of an optimized crystal structure of SrBiTe2, from the Alexandria database.

Output
Total magnetic moment in μB/f.u.: 0.00
Calculated total energy in eV for the cell shown: -41.1
Formation energy (no corrections) in eV/atom: -0.46

a = 4.5473 Å, b = 4.5473 Å, c = 29.6028 Å
α = 90.00°, β = 90.00°, γ = 120.00°
Space group R-3m (No. 166, hexagonal axes)
Asymmetric unit:
Sr (0.0000, 0.0000, 0.0000) [3 per cell]
Bi (0.0000, 0.0000, 0.5000) [3 per cell]
Te (0.0000, 0.0000, 0.4004) [6 per cell]



15.
The following is a PBE calculation of an optimized crystal structure of SrBi3Te, from the Alexandria database.

Output
Total magnetic moment in μB/f.u.: 0.00
Calculated total energy in eV for the cell shown: -15.8
Formation energy (no corrections) in eV/atom: 0.14

a = 5.923 Å, b = 5.923 Å, c = 5.923 Å
α = 90.00°, β = 90.00°, γ = 90.00°
Space group Pm-3m (No. 221)
Asymmetric unit:
Sr (0.000, 0.000, 0.000) [1 per cell]
Bi (0.000, 0.500, 0.500) [3 per cell]
Te (0.500, 0.500, 0.500) [1 per cell]



16.
The following is a PBE calculation of an optimized crystal structure of SrBi3Te, from the Alexandria database.

Output
Total magnetic moment in μB/f.u.: 0.00
Calculated total energy in eV for the cell shown: -12.5
Formation energy (no corrections) in eV/atom: 0.79

a = 6.114 Å, b = 6.114 Å, c = 6.114 Å
α = 90.00°, β = 90.00°, γ = 90.00°
Space group Pm-3m (No. 221)
Asymmetric unit:
Sr (0.000, 0.000, 0.000) [1 per cell]
Bi (0.000, 0.000, 0.500) [3 per cell]
Te (0.500, 0.500, 0.500) [1 per cell]



17.
The following is a PBE calculation of an optimized crystal structure of SrBiTe2, from the Alexandria database.

Output
Total magnetic moment in μB/f.u.: 0.00
Calculated total energy in eV for the cell shown: -57.2
Formation energy (no corrections) in eV/atom: -0.61

a = 6.683 Å, b = 6.683 Å, c = 17.157 Å
α = 90.00°, β = 90.00°, γ = 90.00°
Space group I-42d (No. 122)
Asymmetric unit:
Sr (0.000, 0.000, 0.000) [4 per cell]
Bi (0.000, 0.000, 0.500) [4 per cell]
Te (0.226, 0.250, 0.625) [8 per cell]



18.
The following is a PBE calculation of an optimized crystal structure of SrBi2Te4, from the Alexandria database.

Output
Total magnetic moment in μB/f.u.: 0.00
Calculated total energy in eV for the cell shown: -104.7
Formation energy (no corrections) in eV/atom: -0.59

a = 4.502 Å, b = 14.762 Å, c = 15.551 Å
α = 90.00°, β = 90.00°, γ = 90.00°
Space group Cmcm (No. 63)
Asymmetric unit:
Sr (0.000, 0.114, 0.250) [4 per cell]
Bi (0.000, 0.366, 0.071) [8 per cell]
Te (0.000, 0.000, 0.000) [4 per cell]
Te (0.000, 0.275, 0.615) [8 per cell]
Te (0.000, 0.455, 0.250) [4 per cell]



19.
The following is a PBE calculation of an optimized crystal structure of SrBiTe, from the Alexandria database.

Output
Total magnetic moment in μB/f.u.: 0.00
Calculated total energy in eV for the cell shown: -41.4
Formation energy (no corrections) in eV/atom: -0.55

a = 12.910 Å, b = 4.247 Å, c = 9.312 Å
α = 90.00°, β = 96.19°, γ = 90.00°
Space group C2/m (No. 12)
Asymmetric unit:
Sr (0.200, 0.000, 0.218) [4 per cell]
Bi (0.077, 0.000, 0.867) [4 per cell]
Te (0.158, 0.000, 0.587) [4 per cell]



20.
The following is a PBE calculation of an optimized crystal structure of Sr2BiTe, from the Alexandria database.

Output
Total magnetic moment in μB/f.u.: 0.00
Calculated total energy in eV for the cell shown: -14.9
Formation energy (no corrections) in eV/atom: -1.13

a = 4.024 Å, b = 4.024 Å, c = 8.616 Å
α = 90.00°, β = 90.00°, γ = 90.00°
Space group P4/mmm (No. 123)
Asymmetric unit:
Sr (0.000, 0.000, 0.235) [2 per cell]
Bi (0.500, 0.500, 0.500) [1 per cell]
Te (0.500, 0.500, 0.000) [1 per cell]